## Li2HoWO6 (GGA+U)

Data for a relaxed structure of Li2HoWO6.

Computed properties:
- Total magnetic moment: 1.04 μB/f.u.
- Calculated density: 6.52 g/cm³
- Final energy: -6.80 eV per atom

a = 5.4309 Å, b = 5.4508 Å, c = 9.5646 Å
α = 90.00°, β = 124.46°, γ = 90.00°
With the nearest neighbours (Å) after each atom.
Positions (direct):
Li 0.2110 0.0205 0.2399  3 O 2.02-2.06
Li 0.2110 0.4795 0.7399  3 O 2.02-2.06
Li 0.7890 0.5205 0.2601  3 O 2.02-2.06
Li 0.7890 0.9795 0.7601  3 O 2.02-2.06
Ho 0.0000 0.0000 0.5000  6 O 2.23-2.30
Ho 0.0000 0.5000 0.0000  6 O 2.23-2.30
W 0.5000 0.0000 0.0000  6 O 1.93-1.97
W 0.5000 0.5000 0.5000  6 O 1.93-1.97
O 0.1595 0.0715 0.7699  1 W 1.95, 1 Li 2.02
O 0.1595 0.4285 0.2699  1 W 1.95, 1 Li 2.02
O 0.2381 0.6418 0.5548  1 W 1.93, 1 Li 2.06
O 0.2381 0.8582 0.0548  1 W 1.93, 1 Li 2.06
O 0.4411 0.1770 0.5701  1 W 1.97, 1 Li 2.04
O 0.4411 0.3230 0.0701  1 W 1.97, 1 Li 2.04
O 0.5589 0.6770 0.9299  1 W 1.97, 1 Li 2.04
O 0.5589 0.8230 0.4299  1 W 1.97, 1 Li 2.04
O 0.7619 0.1418 0.9452  1 W 1.93, 1 Li 2.06
O 0.7619 0.3582 0.4452  1 W 1.93, 1 Li 2.06
O 0.8405 0.5715 0.7301  1 W 1.95, 1 Li 2.02
O 0.8405 0.9285 0.2301  1 W 1.95, 1 Li 2.02